1.
Entry from OQMD: crystalline GaTcBi at its relaxed geometry (PBE).

a b c (Å): 6.3850 6.3850 6.3850
angles (deg): 90.00 90.00 90.00
Closest atoms and distances in Å follow each position.
Space group F-43m (No. 216)
Symmetry-distinct sites (fractional):
Ga 0.0000 0.0000 0.0000  4 Tc 2.76
Tc 0.2500 0.2500 0.7500  4 Bi 2.76, 4 Ga 2.76
Bi 0.0000 0.0000 0.5000  4 Tc 2.76

Results
Energy above the lowest structure with this stoichiometry   0.0 kJ per mole of atoms
Magnetic moment   0.01 μB/f.u.

***

2.
Entry from OQMD: crystalline GaTc2Bi2 at its relaxed geometry (PBE).

a b c (Å): 7.4948 4.3265 7.2930
angles (deg): 90.00 91.29 90.00
Closest atoms and distances in Å follow each position.
Space group C2/m (No. 12)
Symmetry-distinct sites (fractional):
Ga 0.0000 0.0000 0.0000  6 Tc 2.58
Tc 0.1690 0.5000 0.0901  3 Ga 2.58, 3 Tc 2.82-2.83, 1 Bi 2.83
Bi 0.1603 0.5000 0.7015  4 Tc 2.83-2.93

Results
E_tot   -6.20 eV/atom
Magnetic moment   0.00 μB/f.u.